(one)
The following is a PBE calculation of Sr2EuTl after structural relaxation, from the Alexandria database.

Cell: 4.012 4.012 40.623 Å, 90.00 90.00 120.00°
Atoms (fractional coordinates):
Sr  0.000  0.000  0.084
Sr  0.000  0.000  0.916
Sr  0.333  0.667  0.583
Sr  0.333  0.667  0.751
Sr  0.667  0.333  0.249
Sr  0.667  0.333  0.417
Eu  0.000  0.000  0.500
Eu  0.333  0.667  0.167
Eu  0.667  0.333  0.833
Tl  0.000  0.000  0.000
Tl  0.333  0.667  0.667
Tl  0.667  0.333  0.333

Computed properties:
N(E_F) (states/eV/cell): 31.7
Space group: No. 166



(two)
The following is a PBE calculation of Sr2EuTl after structural relaxation, from the Alexandria database.

Cell: 8.561 8.561 8.561 Å, 90.00 90.00 90.00°
Atoms (fractional coordinates):
Sr  0.250  0.250  0.250
Sr  0.250  0.250  0.750
Sr  0.250  0.750  0.250
Sr  0.250  0.750  0.750
Sr  0.750  0.250  0.250
Sr  0.750  0.250  0.750
Sr  0.750  0.750  0.250
Sr  0.750  0.750  0.750
Eu  0.000  0.000  0.000
Eu  0.000  0.500  0.500
Eu  0.500  0.000  0.500
Eu  0.500  0.500  0.000
Tl  0.000  0.000  0.500
Tl  0.000  0.500  0.000
Tl  0.500  0.000  0.000
Tl  0.500  0.500  0.500

Computed properties:
N(E_F) (states/eV/cell): 13.5
Space group: No. 225



(three)
The following is a PBE calculation of Sr2EuTl after structural relaxation, from the Alexandria database.

Cell: 5.410 5.410 5.342 Å, 90.00 90.00 90.00°
Atoms (fractional coordinates):
Sr  0.000  0.500  0.000
Sr  0.500  0.000  0.000
Eu  0.000  0.000  0.500
Tl  0.500  0.500  0.500

Computed properties:
N(E_F) (states/eV/cell): 14.1
Space group: No. 123



Top of the stability list: (three), leading by 20 meV/atom.



(one)
The following is a PBE calculation of SrEuTl after structural relaxation, from the Alexandria database.

Cell: 5.675 5.675 4.056 Å, 90.00 90.00 120.00°
Atoms (fractional coordinates):
Sr  0.000  0.000  0.000
Eu  0.333  0.667  0.457
Tl  0.667  0.333  0.648

Computed properties:
N(E_F) (states/eV/cell): 9.9
Space group: No. 156



(two)
The following is a PBE calculation of SrEuTl after structural relaxation, from the Alexandria database.

Cell: 3.691 3.691 19.846 Å, 90.00 90.00 90.00°
Atoms (fractional coordinates):
Sr  0.000  0.000  0.000
Sr  0.500  0.500  0.500
Eu  0.000  0.000  0.659
Eu  0.500  0.500  0.159
Tl  0.000  0.000  0.827
Tl  0.500  0.500  0.327

Computed properties:
N(E_F) (states/eV/cell): 16.1
Space group: No. 107



Top of the stability list: (one), leading by 388 meV/atom.



(one)
The following is a PBE calculation of SrEu2Zn after structural relaxation, from the Alexandria database.

Cell: 5.136 5.136 5.449 Å, 90.00 90.00 90.00°
Atoms (fractional coordinates):
Sr  0.000  0.000  0.000
Eu  0.000  0.500  0.500
Eu  0.500  0.000  0.500
Zn  0.500  0.500  0.000

Computed properties:
N(E_F) (states/eV/cell): 4.4
Space group: No. 123



(two)
The following is a PBE calculation of SrEu2Zn after structural relaxation, from the Alexandria database.

Cell: 4.064 4.064 33.565 Å, 90.00 90.00 120.00°
Atoms (fractional coordinates):
Sr  0.000  0.000  0.000
Sr  0.333  0.667  0.667
Sr  0.667  0.333  0.333
Eu  0.000  0.000  0.230
Eu  0.000  0.000  0.770
Eu  0.333  0.667  0.437
Eu  0.333  0.667  0.897
Eu  0.667  0.333  0.103
Eu  0.667  0.333  0.563
Zn  0.000  0.000  0.500
Zn  0.333  0.667  0.167
Zn  0.667  0.333  0.833

Computed properties:
N(E_F) (states/eV/cell): 48.3
Space group: No. 166



Top of the stability list: (two), leading by 77 meV/atom.



(one)
The following is a PBE calculation of Sr2EuZn after structural relaxation, from the Alexandria database.

Cell: 4.108 4.108 36.549 Å, 90.00 90.00 120.00°
Atoms (fractional coordinates):
Sr  0.000  0.000  0.106
Sr  0.000  0.000  0.894
Sr  0.333  0.667  0.560
Sr  0.333  0.667  0.773
Sr  0.667  0.333  0.227
Sr  0.667  0.333  0.440
Eu  0.000  0.000  0.000
Eu  0.333  0.667  0.667
Eu  0.667  0.333  0.333
Zn  0.000  0.000  0.500
Zn  0.333  0.667  0.167
Zn  0.667  0.333  0.833

Computed properties:
N(E_F) (states/eV/cell): 16.1
Space group: No. 166



(two)
The following is a PBE calculation of Sr2EuZn after structural relaxation, from the Alexandria database.

Cell: 3.950 3.950 10.169 Å, 90.00 90.00 90.00°
Atoms (fractional coordinates):
Sr  0.000  0.000  0.186
Sr  0.000  0.000  0.814
Eu  0.500  0.500  0.500
Zn  0.500  0.500  0.000

Computed properties:
N(E_F) (states/eV/cell): 4.4
Space group: No. 123



Top of the stability list: (two), leading by 194 meV/atom.



(one)
The following is a PBE calculation of Tb2Eu after structural relaxation, from the Alexandria database.

Cell: 3.653 3.653 15.513 Å, 90.00 90.00 90.00°
Atoms (fractional coordinates):
Tb  0.000  0.000  0.175
Tb  0.000  0.000  0.825
Tb  0.500  0.500  0.325
Tb  0.500  0.500  0.675
Eu  0.000  0.000  0.500
Eu  0.500  0.500  0.000

Computed properties:
N(E_F) (states/eV/cell): 7.3
Space group: No. 139



(two)
The following is a PBE calculation of Tb2Eu after structural relaxation, from the Alexandria database.

Cell: 6.819 6.819 6.819 Å, 60.00 60.00 60.00°
Atoms (fractional coordinates):
Tb  0.000  0.000  0.000
Tb  0.000  0.000  0.500
Tb  0.000  0.500  0.000
Tb  0.500  0.000  0.000
Eu  0.375  0.375  0.375
Eu  0.625  0.625  0.625

Computed properties:
N(E_F) (states/eV/cell): 9.6
Space group: No. 227



Top of the stability list: (one), leading by 172 meV/atom.



(one)
The following is a PBE calculation of TbEu3 after structural relaxation, from the Alexandria database.

Cell: 7.621 7.621 6.138 Å, 90.00 90.00 120.00°
Atoms (fractional coordinates):
Tb  0.333  0.667  0.250
Tb  0.667  0.333  0.750
Eu  0.170  0.339  0.750
Eu  0.170  0.830  0.750
Eu  0.339  0.170  0.250
Eu  0.661  0.830  0.750
Eu  0.830  0.170  0.250
Eu  0.830  0.661  0.250

Computed properties:
N(E_F) (states/eV/cell): 10.0
Space group: No. 194



(two)
The following is a PBE calculation of TbEu3 after structural relaxation, from the Alexandria database.

Cell: 8.509 8.509 8.509 Å, 90.00 90.00 90.00°
Atoms (fractional coordinates):
Tb  0.000  0.000  0.000
Tb  0.000  0.500  0.500
Tb  0.500  0.000  0.500
Tb  0.500  0.500  0.000
Eu  0.000  0.000  0.500
Eu  0.000  0.500  0.000
Eu  0.250  0.250  0.250
Eu  0.250  0.250  0.750
Eu  0.250  0.750  0.250
Eu  0.250  0.750  0.750
Eu  0.500  0.000  0.000
Eu  0.500  0.500  0.500
Eu  0.750  0.250  0.250
Eu  0.750  0.250  0.750
Eu  0.750  0.750  0.250
Eu  0.750  0.750  0.750

Computed properties:
N(E_F) (states/eV/cell): 45.7
Space group: No. 225



Top of the stability list: (one), leading by 29 meV/atom.



(one)
The following is a PBE calculation of Tb2EuTl after structural relaxation, from the Alexandria database.

Cell: 4.988 4.988 4.827 Å, 90.00 90.00 90.00°
Atoms (fractional coordinates):
Tb  0.000  0.500  0.000
Tb  0.500  0.000  0.000
Eu  0.000  0.000  0.500
Tl  0.500  0.500  0.500

Computed properties:
N(E_F) (states/eV/cell): 4.2
Space group: No. 123



(two)
The following is a PBE calculation of Tb2EuTl after structural relaxation, from the Alexandria database.

Cell: 3.709 3.709 9.312 Å, 90.00 90.00 90.00°
Atoms (fractional coordinates):
Tb  0.000  0.000  0.213
Tb  0.000  0.000  0.787
Eu  0.500  0.500  0.500
Tl  0.500  0.500  0.000

Computed properties:
N(E_F) (states/eV/cell): 4.9
Space group: No. 123



Top of the stability list: (one), leading by 37 meV/atom.



(one)
The following is a PBE calculation of TbEu2Tm after structural relaxation, from the Alexandria database.

Cell: 3.568 3.568 38.508 Å, 90.00 90.00 120.00°
Atoms (fractional coordinates):
Tb  0.000  0.000  0.000
Tb  0.333  0.667  0.667
Tb  0.667  0.333  0.333
Eu  0.000  0.000  0.088
Eu  0.000  0.000  0.912
Eu  0.333  0.667  0.579
Eu  0.333  0.667  0.755
Eu  0.667  0.333  0.245
Eu  0.667  0.333  0.421
Tm  0.000  0.000  0.500
Tm  0.333  0.667  0.167
Tm  0.667  0.333  0.833

Computed properties:
N(E_F) (states/eV/cell): 17.6
Space group: No. 166



(two)
The following is a PBE calculation of TbEu2Tm after structural relaxation, from the Alexandria database.

Cell: 8.238 8.238 8.238 Å, 90.00 90.00 90.00°
Atoms (fractional coordinates):
Tb  0.000  0.000  0.000
Tb  0.000  0.500  0.500
Tb  0.500  0.000  0.500
Tb  0.500  0.500  0.000
Eu  0.250  0.250  0.250
Eu  0.250  0.250  0.750
Eu  0.250  0.750  0.250
Eu  0.250  0.750  0.750
Eu  0.750  0.250  0.250
Eu  0.750  0.250  0.750
Eu  0.750  0.750  0.250
Eu  0.750  0.750  0.750
Tm  0.000  0.000  0.500
Tm  0.000  0.500  0.000
Tm  0.500  0.000  0.000
Tm  0.500  0.500  0.500

Computed properties:
N(E_F) (states/eV/cell): 21.6
Space group: No. 225



(three)
The following is a PBE calculation of TbEu2Tm after structural relaxation, from the Alexandria database.

Cell: 3.634 3.634 10.551 Å, 90.00 90.00 90.00°
Atoms (fractional coordinates):
Tb  0.000  0.000  0.000
Eu  0.500  0.500  0.253
Eu  0.500  0.500  0.747
Tm  0.000  0.000  0.500

Computed properties:
N(E_F) (states/eV/cell): 4.9
Space group: No. 123



Top of the stability list: (three), leading by 46 meV/atom.



(one)
The following is a PBE calculation of TbEuY2 after structural relaxation, from the Alexandria database.

Cell: 3.526 3.526 38.208 Å, 90.00 90.00 120.00°
Atoms (fractional coordinates):
Tb  0.000  0.000  0.000
Tb  0.333  0.667  0.667
Tb  0.667  0.333  0.333
Eu  0.000  0.000  0.500
Eu  0.333  0.667  0.167
Eu  0.667  0.333  0.833
Y  0.000  0.000  0.087
Y  0.000  0.000  0.913
Y  0.333  0.667  0.580
Y  0.333  0.667  0.754
Y  0.667  0.333  0.246
Y  0.667  0.333  0.420

Computed properties:
N(E_F) (states/eV/cell): 23.9
Space group: No. 166



(two)
The following is a PBE calculation of TbEuY2 after structural relaxation, from the Alexandria database.

Cell: 5.123 5.123 5.117 Å, 90.00 90.00 90.00°
Atoms (fractional coordinates):
Tb  0.000  0.000  0.000
Eu  0.500  0.500  0.000
Y  0.000  0.500  0.500
Y  0.500  0.000  0.500

Computed properties:
N(E_F) (states/eV/cell): 6.3
Space group: No. 123



Top of the stability list: (two), leading by 182 meV/atom.



(one)
The following is a PBE calculation of TbEuY2 after structural relaxation, from the Alexandria database.

Cell: 8.160 8.160 8.160 Å, 90.00 90.00 90.00°
Atoms (fractional coordinates):
Tb  0.000  0.000  0.000
Tb  0.000  0.500  0.500
Tb  0.500  0.000  0.500
Tb  0.500  0.500  0.000
Eu  0.000  0.000  0.500
Eu  0.000  0.500  0.000
Eu  0.500  0.000  0.000
Eu  0.500  0.500  0.500
Y  0.250  0.250  0.250
Y  0.250  0.250  0.750
Y  0.250  0.750  0.250
Y  0.250  0.750  0.750
Y  0.750  0.250  0.250
Y  0.750  0.250  0.750
Y  0.750  0.750  0.250
Y  0.750  0.750  0.750

Computed properties:
N(E_F) (states/eV/cell): 33.0
Space group: No. 225



(two)
The following is a PBE calculation of TbEuY2 after structural relaxation, from the Alexandria database.

Cell: 3.630 3.630 10.344 Å, 90.00 90.00 90.00°
Atoms (fractional coordinates):
Tb  0.000  0.000  0.000
Eu  0.000  0.000  0.500
Y  0.500  0.500  0.234
Y  0.500  0.500  0.766

Computed properties:
N(E_F) (states/eV/cell): 5.7
Space group: No. 123



Top of the stability list: (two), leading by 98 meV/atom.



(one)
The following is a PBE calculation of Tb2EuZn after structural relaxation, from the Alexandria database.

Cell: 4.869 4.869 4.736 Å, 90.00 90.00 90.00°
Atoms (fractional coordinates):
Tb  0.000  0.500  0.000
Tb  0.500  0.000  0.000
Eu  0.000  0.000  0.500
Zn  0.500  0.500  0.500

Computed properties:
N(E_F) (states/eV/cell): 4.8
Space group: No. 123



(two)
The following is a PBE calculation of Tb2EuZn after structural relaxation, from the Alexandria database.

Cell: 3.650 3.650 31.831 Å, 90.00 90.00 120.00°
Atoms (fractional coordinates):
Tb  0.000  0.000  0.235
Tb  0.000  0.000  0.765
Tb  0.333  0.667  0.431
Tb  0.333  0.667  0.902
Tb  0.667  0.333  0.098
Tb  0.667  0.333  0.569
Eu  0.000  0.000  0.000
Eu  0.333  0.667  0.667
Eu  0.667  0.333  0.333
Zn  0.000  0.000  0.500
Zn  0.333  0.667  0.167
Zn  0.667  0.333  0.833

Computed properties:
N(E_F) (states/eV/cell): 10.5
Space group: No. 166



Top of the stability list: (two), leading by 60 meV/atom.



(one)
The following is a PBE calculation of TbEu2Zn after structural relaxation, from the Alexandria database.

Cell: 3.713 3.713 9.128 Å, 90.00 90.00 90.00°
Atoms (fractional coordinates):
Tb  0.000  0.000  0.000
Eu  0.500  0.500  0.295
Eu  0.500  0.500  0.705
Zn  0.000  0.000  0.500

Computed properties:
N(E_F) (states/eV/cell): 4.6
Space group: No. 123



(two)
The following is a PBE calculation of TbEu2Zn after structural relaxation, from the Alexandria database.

Cell: 3.591 3.591 35.285 Å, 90.00 90.00 120.00°
Atoms (fractional coordinates):
Tb  0.000  0.000  0.000
Tb  0.333  0.667  0.667
Tb  0.667  0.333  0.333
Eu  0.000  0.000  0.099
Eu  0.000  0.000  0.901
Eu  0.333  0.667  0.568
Eu  0.333  0.667  0.765
Eu  0.667  0.333  0.235
Eu  0.667  0.333  0.432
Zn  0.000  0.000  0.500
Zn  0.333  0.667  0.167
Zn  0.667  0.333  0.833

Computed properties:
N(E_F) (states/eV/cell): 16.1
Space group: No. 166



(three)
The following is a PBE calculation of TbEu2Zn after structural relaxation, from the Alexandria database.

Cell: 4.899 4.899 5.014 Å, 90.00 90.00 90.00°
Atoms (fractional coordinates):
Tb  0.000  0.000  0.000
Eu  0.000  0.500  0.500
Eu  0.500  0.000  0.500
Zn  0.500  0.500  0.000

Computed properties:
N(E_F) (states/eV/cell): 4.7
Space group: No. 123



Top of the stability list: (one), leading by 112 meV/atom.